{
  "formula": "Pm5Nd3Ho4",
  "functional": "PBE-GGA",
  "state": "optimized geometry",
  "formation_energy_ev_per_atom": 0.22,
  "polymorph_energy_mev_per_atom": 205,
  "cell": [[5.9993, 0.0000, 0.0000], [2.9997, 7.6411, -2.7651], [2.9997, -0.9101, 9.2512]],
  "species": ["Ho", "Ho", "Ho", "Ho", "Pm", "Pm", "Pm", "Pm", "Pm", "Nd", "Nd", "Nd"],
  "fractional_positions": [[0.8354, 0.9532, 0.3761], [0.1646, 0.0468, 0.6239], [0.1402, 0.7784, 0.9411], [0.8598, 0.2216, 0.0589], [0.6231, 0.9528, 0.8011], [0.7864, 0.5403, 0.8868], [0.2136, 0.4597, 0.1132], [0.3769, 0.0472, 0.1989], [0.5000, 0.5000, 0.5000], [0.4806, 0.3114, 0.7273], [0.0000, 0.5000, 0.5000], [0.5194, 0.6886, 0.2727]]
}